## CdReGe2Br (PBE-GGA)

Data for an optimized crystal structure of CdReGe2Br.

```
data_CdReGe2Br
_cell_length_a 5.250
_cell_length_b 4.572
_cell_length_c 5.250
_cell_angle_alpha 90.00
_cell_angle_beta 90.00
_cell_angle_gamma 90.00
_symmetry_space_group_name_H-M 'P 1'
_symmetry_Int_Tables_number 1
_symmetry_space_group_name_Hall 'P 1'
loop_
_atom_site_label
_atom_site_type_symbol
_atom_site_fract_x
_atom_site_fract_y
_atom_site_fract_z
Br1 Br 0.000 0.000 0.000
Ge1 Ge 0.500 0.000 0.000
Re1 Re 0.000 0.500 0.000
Cd1 Cd 0.500 0.500 0.500
Ge2 Ge 0.000 0.000 0.500
```

Computed properties:
Formation energy without anion corrections ... 1582 meV/atom

***

## CdGeRh2Br (PBE-GGA)

Data for an optimized crystal structure of CdGeRh2Br.

```
data_CdGeRh2Br
_cell_length_a 4.646
_cell_length_b 5.353
_cell_length_c 4.646
_cell_angle_alpha 90.00
_cell_angle_beta 90.00
_cell_angle_gamma 90.00
_symmetry_space_group_name_H-M 'P 1'
_symmetry_Int_Tables_number 1
_symmetry_space_group_name_Hall 'P 1'
loop_
_atom_site_label
_atom_site_type_symbol
_atom_site_fract_x
_atom_site_fract_y
_atom_site_fract_z
Rh1 Rh 0.500 0.000 0.000
Rh2 Rh 0.000 0.000 0.500
Ge1 Ge 0.500 0.500 0.500
Cd1 Cd 0.000 0.500 0.000
Br1 Br 0.000 0.000 0.000
```

Computed properties:
Formation energy without anion corrections ... 980 meV/atom

***

## CdGeSeBr2 (PBE-GGA)

Data for an optimized crystal structure of CdGeSeBr2.

```
data_CdGeSeBr2
_cell_length_a 5.294
_cell_length_b 5.294
_cell_length_c 5.472
_cell_angle_alpha 90.00
_cell_angle_beta 90.00
_cell_angle_gamma 90.00
_symmetry_space_group_name_H-M 'P 1'
_symmetry_Int_Tables_number 1
_symmetry_space_group_name_Hall 'P 1'
loop_
_atom_site_label
_atom_site_type_symbol
_atom_site_fract_x
_atom_site_fract_y
_atom_site_fract_z
Br1 Br 0.500 0.000 0.000
Cd1 Cd 0.000 0.000 0.000
Se1 Se 0.000 0.000 0.500
Ge1 Ge 0.500 0.500 0.500
Br2 Br 0.000 0.500 0.000
```

Computed properties:
Formation energy without anion corrections ... 117 meV/atom

***

## CdGeSeBr2 (PBE-GGA)

Data for an optimized crystal structure of CdGeSeBr2.

```
data_CdGeSeBr2
_cell_length_a 5.238
_cell_length_b 5.238
_cell_length_c 5.253
_cell_angle_alpha 90.00
_cell_angle_beta 90.00
_cell_angle_gamma 90.00
_symmetry_space_group_name_H-M 'P 1'
_symmetry_Int_Tables_number 1
_symmetry_space_group_name_Hall 'P 1'
loop_
_atom_site_label
_atom_site_type_symbol
_atom_site_fract_x
_atom_site_fract_y
_atom_site_fract_z
Br1 Br 0.500 0.000 0.000
Se1 Se 0.000 0.000 0.500
Cd1 Cd 0.500 0.500 0.500
Br2 Br 0.000 0.500 0.000
Ge1 Ge 0.000 0.000 0.000
```

Computed properties:
Formation energy without anion corrections ... -75 meV/atom

***

## CdGe2TeBr (PBE-GGA)

Data for an optimized crystal structure of CdGe2TeBr.

```
data_CdGe2TeBr
_cell_length_a 5.452
_cell_length_b 5.392
_cell_length_c 5.452
_cell_angle_alpha 90.00
_cell_angle_beta 90.00
_cell_angle_gamma 90.00
_symmetry_space_group_name_H-M 'P 1'
_symmetry_Int_Tables_number 1
_symmetry_space_group_name_Hall 'P 1'
loop_
_atom_site_label
_atom_site_type_symbol
_atom_site_fract_x
_atom_site_fract_y
_atom_site_fract_z
Te1 Te 0.000 0.500 0.000
Br1 Br 0.500 0.500 0.500
Ge1 Ge 0.500 0.000 0.000
Cd1 Cd 0.000 0.000 0.000
Ge2 Ge 0.000 0.000 0.500
```

Computed properties:
Formation energy without anion corrections ... 648 meV/atom

***

## CdH2Br2 (PBE-GGA)

Data for an optimized crystal structure of CdH2Br2.

```
data_CdH2Br2
_cell_length_a 7.094
_cell_length_b 6.455
_cell_length_c 12.475
_cell_angle_alpha 113.23
_cell_angle_beta 90.00
_cell_angle_gamma 90.00
_symmetry_space_group_name_H-M 'P 1'
_symmetry_Int_Tables_number 1
_symmetry_space_group_name_Hall 'P 1'
loop_
_atom_site_label
_atom_site_type_symbol
_atom_site_fract_x
_atom_site_fract_y
_atom_site_fract_z
H1 H 0.641 0.043 0.423
Br1 Br 0.906 0.065 0.694
Cd1 Cd 0.567 0.118 0.620
Br2 Br 0.087 0.670 0.901
Cd2 Cd 0.067 0.382 0.380
Br3 Br 0.413 0.170 0.901
Br4 Br 0.594 0.565 0.694
Cd3 Cd 0.933 0.618 0.620
H2 H 0.359 0.957 0.577
H3 H 0.712 0.644 0.088
Br5 Br 0.587 0.830 0.099
H4 H 0.859 0.543 0.423
H5 H 0.141 0.457 0.577
Br6 Br 0.913 0.330 0.099
Br7 Br 0.094 0.935 0.306
Br8 Br 0.406 0.435 0.306
Cd4 Cd 0.433 0.882 0.380
H6 H 0.212 0.856 0.912
H7 H 0.788 0.144 0.088
H8 H 0.288 0.356 0.912
```

***

## Cd2HBr (PBE-GGA)

Data for an optimized crystal structure of Cd2HBr.

```
data_Cd2HBr
_cell_length_a 4.966
_cell_length_b 4.966
_cell_length_c 4.966
_cell_angle_alpha 60.00
_cell_angle_beta 60.00
_cell_angle_gamma 60.00
_symmetry_space_group_name_H-M 'P 1'
_symmetry_Int_Tables_number 1
_symmetry_space_group_name_Hall 'P 1'
loop_
_atom_site_label
_atom_site_type_symbol
_atom_site_fract_x
_atom_site_fract_y
_atom_site_fract_z
H1 H 0.000 0.000 0.000
Br1 Br 0.500 0.500 0.500
Cd1 Cd 0.750 0.750 0.750
Cd2 Cd 0.250 0.250 0.250
```

***

## Cd2H2Br3 (PBE-GGA)

Data for an optimized crystal structure of Cd2H2Br3.

```
data_Cd2H2Br3
_cell_length_a 4.050
_cell_length_b 7.592
_cell_length_c 7.058
_cell_angle_alpha 98.04
_cell_angle_beta 90.62
_cell_angle_gamma 74.23
_symmetry_space_group_name_H-M 'P 1'
_symmetry_Int_Tables_number 1
_symmetry_space_group_name_Hall 'P 1'
loop_
_atom_site_label
_atom_site_type_symbol
_atom_site_fract_x
_atom_site_fract_y
_atom_site_fract_z
Br1 Br 0.500 0.000 0.000
H1 H 0.939 0.038 0.477
Cd1 Cd 0.135 0.733 0.068
Br2 Br 0.269 0.452 0.747
H2 H 0.061 0.962 0.523
Br3 Br 0.731 0.548 0.253
Cd2 Cd 0.865 0.267 0.932
```

***

no.,magnetic moment (μB per atom),total DFT energy (no corrections) (eV/atom)
1,0.000,-3.27
2,0.000,-3.40
3,0.000,-2.36
4,0.000,-2.55
5,0.000,-2.34
6,0.000,-2.42
7,0.000,-1.29
8,0.000,-2.35